First-principles (PBE with a Hubbard U) data for an optimized crystal structure of Ac2MoIrO8, as listed in the Alexandria database.

Properties
ρ = 7.554 g cm⁻³
Final energy = -7.482 eV/atom
N(E_F) = 1.26 states/eV per cell
V = 191.27 Å³ per cell
Space group = P-1 (2)

Unit cell a=6.1743 b=5.4812 c=6.3245 alpha=75.58 beta=103.91 gamma=110.60
Last column: nearest neighbours and their distance in Å.
Atoms (fractional coordinates):
Ac1 0.6612 0.3873 0.8086  7 O 2.49-2.70
Ac2 0.3388 0.6127 0.1914  7 O 2.49-2.70
Mo1 0.0000 0.0000 0.5000  6 O 1.91-2.11
Ir1 0.0000 0.0000 0.0000  6 O 1.93-2.05
O1 0.0819 0.8015 0.3103  1 Ir 2.03, 1 Mo 2.05
O2 0.6753 0.7800 0.9752  1 Ir 1.93
O3 0.9337 0.2216 0.1803  1 Ir 2.05, 1 Mo 2.11
O4 0.9181 0.1985 0.6897  1 Ir 2.03, 1 Mo 2.05
O5 0.3247 0.2200 0.0248  1 Ir 1.93
O6 0.0663 0.7784 0.8197  1 Ir 2.05, 1 Mo 2.11
O7 0.6886 0.7578 0.4785  1 Mo 1.91
O8 0.3114 0.2422 0.5215  1 Mo 1.91